# 1
# SiTe2Os | the Alexandria database | PBE-GGA | optimized geometry
# Energy relative to the elements, uncorrected   564 meV per atom
# Total DFT energy (no corrections)   -20.68 eV/f.u.
data_SiTe2Os
_cell_length_a 7.0263
_cell_length_b 4.0655
_cell_length_c 6.5793
_cell_angle_alpha 90.00
_cell_angle_beta 111.01
_cell_angle_gamma 90.00
_space_group_name_H-M_alt 'C 1 2/m 1'
_space_group_IT_number 12
loop_
_space_group_symop_operation_xyz
'x,y,z'
'-x,-y,-z'
'-x,y,-z'
'x,-y,z'
'x+1/2,y+1/2,z'
'-x+1/2,-y+1/2,-z'
'-x+1/2,y+1/2,-z'
'x+1/2,-y+1/2,z'
loop_
_atom_site_label
_atom_site_type_symbol
_atom_site_fract_x
_atom_site_fract_y
_atom_site_fract_z
Si1 Si 0.0000 0.0000 0.0000
Te1 Te 0.2409 0.0000 0.7216
Os1 Os 0.0000 0.5000 0.5000

---

# 2
# SiTeOs2 | the Alexandria database | PBE-GGA | optimized geometry
# Energy relative to the elements, uncorrected   624 meV per atom
# Total DFT energy (no corrections)   -28.53 eV/f.u.
data_SiTeOs2
_cell_length_a 2.9834
_cell_length_b 5.0679
_cell_length_c 8.8396
_cell_angle_alpha 90.00
_cell_angle_beta 90.00
_cell_angle_gamma 90.00
_space_group_name_H-M_alt 'C m m m'
_space_group_IT_number 65
_space_group_name_Hall '-C 2 2'
loop_
_atom_site_label
_atom_site_type_symbol
_atom_site_fract_x
_atom_site_fract_y
_atom_site_fract_z
Si1 Si 0.0000 0.0000 0.0000
Te1 Te 0.0000 0.0000 0.5000
Os1 Os 0.0000 0.5000 0.2080

---

# 3
# SiTeOs4 | the Alexandria database | PBE-GGA | optimized geometry
# Energy relative to the elements, uncorrected   1123 meV per atom
# Total DFT energy (no corrections)   -46.75 eV/f.u.
data_SiTeOs4
_cell_length_a 7.4264
_cell_length_b 7.4264
_cell_length_c 7.4264
_cell_angle_alpha 90.00
_cell_angle_beta 90.00
_cell_angle_gamma 90.00
_space_group_name_H-M_alt 'F -4 3 m'
_space_group_IT_number 216
_space_group_name_Hall 'F -4 2 3'
loop_
_atom_site_label
_atom_site_type_symbol
_atom_site_fract_x
_atom_site_fract_y
_atom_site_fract_z
Si1 Si 0.0000 0.0000 0.0000
Te1 Te 0.2500 0.2500 0.7500
Os1 Os 0.1253 0.1253 0.3747

---

# 4
# Si2TeOs | the Alexandria database | PBE-GGA | optimized geometry
# Energy relative to the elements, uncorrected   147 meV per atom
# Total DFT energy (no corrections)   -24.63 eV/f.u.
data_Si2TeOs
_cell_length_a 7.7712
_cell_length_b 2.9942
_cell_length_c 8.0332
_cell_angle_alpha 90.00
_cell_angle_beta 114.99
_cell_angle_gamma 90.00
_space_group_name_H-M_alt 'C 1 2/m 1'
_space_group_IT_number 12
loop_
_space_group_symop_operation_xyz
'x,y,z'
'-x,-y,-z'
'-x,y,-z'
'x,-y,z'
'x+1/2,y+1/2,z'
'-x+1/2,-y+1/2,-z'
'-x+1/2,y+1/2,-z'
'x+1/2,-y+1/2,z'
loop_
_atom_site_label
_atom_site_type_symbol
_atom_site_fract_x
_atom_site_fract_y
_atom_site_fract_z
Si1 Si 0.2324 0.0000 0.3593
Te1 Te 0.0000 0.0000 0.0000
Os1 Os 0.0000 0.0000 0.5000

---

# 5
# SiTeOs2 | the Alexandria database | PBE-GGA | optimized geometry
# Energy relative to the elements, uncorrected   826 meV per atom
# Total DFT energy (no corrections)   -27.72 eV/f.u.
data_SiTeOs2
_cell_length_a 4.0362
_cell_length_b 4.0362
_cell_length_c 7.9089
_cell_angle_alpha 90.00
_cell_angle_beta 90.00
_cell_angle_gamma 90.00
_space_group_name_H-M_alt 'I -4 m 2'
_space_group_IT_number 119
_space_group_name_Hall 'I -4 -2'
loop_
_atom_site_label
_atom_site_type_symbol
_atom_site_fract_x
_atom_site_fract_y
_atom_site_fract_z
Si1 Si 0.0000 0.0000 0.0000
Te1 Te 0.0000 0.5000 0.7500
Os1 Os 0.0000 0.0000 0.5000
Os2 Os 0.0000 0.5000 0.2500

---

# 6
# SiTe2Os | the Alexandria database | PBE-GGA | optimized geometry
# Energy relative to the elements, uncorrected   657 meV per atom
# Total DFT energy (no corrections)   -20.31 eV/f.u.
data_SiTe2Os
_cell_length_a 3.8914
_cell_length_b 3.8914
_cell_length_c 25.4616
_cell_angle_alpha 90.00
_cell_angle_beta 90.00
_cell_angle_gamma 120.00
_space_group_name_H-M_alt 'R -3 m'
_space_group_IT_number 166
_space_group_name_Hall '-R 3 2"'
loop_
_atom_site_label
_atom_site_type_symbol
_atom_site_fract_x
_atom_site_fract_y
_atom_site_fract_z
Si1 Si 0.0000 0.0000 0.0000
Te1 Te 0.0000 0.0000 0.1113
Os1 Os 0.0000 0.0000 0.5000

---

# 7
# SiTeOs2 | the Alexandria database | PBE-GGA | optimized geometry
# Energy relative to the elements, uncorrected   658 meV per atom
# Total DFT energy (no corrections)   -28.39 eV/f.u.
data_SiTeOs2
_cell_length_a 2.9685
_cell_length_b 4.8686
_cell_length_c 9.1243
_cell_angle_alpha 90.00
_cell_angle_beta 90.00
_cell_angle_gamma 90.00
_space_group_name_H-M_alt 'I m m m'
_space_group_IT_number 71
_space_group_name_Hall '-I 2 2'
loop_
_atom_site_label
_atom_site_type_symbol
_atom_site_fract_x
_atom_site_fract_y
_atom_site_fract_z
Si1 Si 0.0000 0.0000 0.0000
Te1 Te 0.0000 0.0000 0.5000
Os1 Os 0.0000 0.5000 0.2909

---

# 8
# SiTe2Os | the Alexandria database | PBE-GGA | optimized geometry
# Energy relative to the elements, uncorrected   223 meV per atom
# Total DFT energy (no corrections)   -22.04 eV/f.u.
data_SiTe2Os
_cell_length_a 3.5915
_cell_length_b 3.7112
_cell_length_c 14.6565
_cell_angle_alpha 90.00
_cell_angle_beta 90.00
_cell_angle_gamma 90.00
_space_group_name_H-M_alt 'I m m m'
_space_group_IT_number 71
_space_group_name_Hall '-I 2 2'
loop_
_atom_site_label
_atom_site_type_symbol
_atom_site_fract_x
_atom_site_fract_y
_atom_site_fract_z
Si1 Si 0.0000 0.0000 0.0000
Te1 Te 0.0000 0.5000 0.3602
Os1 Os 0.0000 0.0000 0.5000

---

# 9
# Si2TeOs | the Alexandria database | PBE-GGA | optimized geometry
# Energy relative to the elements, uncorrected   165 meV per atom
# Total DFT energy (no corrections)   -24.56 eV/f.u.
data_Si2TeOs
_cell_length_a 2.9540
_cell_length_b 3.0708
_cell_length_c 8.1925
_cell_angle_alpha 90.00
_cell_angle_beta 90.00
_cell_angle_gamma 90.00
_space_group_name_H-M_alt 'P m m m'
_space_group_IT_number 47
loop_
_space_group_symop_operation_xyz
'x,y,z'
'-x,-y,-z'
'-x,-y,z'
'x,y,-z'
'x,-y,-z'
'-x,y,z'
'-x,y,-z'
'x,-y,z'
loop_
_atom_site_label
_atom_site_type_symbol
_atom_site_fract_x
_atom_site_fract_y
_atom_site_fract_z
Si1 Si 0.0000 0.0000 0.1738
Te1 Te 0.0000 0.5000 0.5000
Os1 Os 0.5000 0.5000 0.0000

---

# 10
# SiTe2Os | the Alexandria database | PBE-GGA | optimized geometry
# Energy relative to the elements, uncorrected   88 meV per atom
# Total DFT energy (no corrections)   -22.58 eV/f.u.
data_SiTe2Os
_cell_length_a 7.6402
_cell_length_b 3.8712
_cell_length_c 7.2464
_cell_angle_alpha 90.00
_cell_angle_beta 102.95
_cell_angle_gamma 90.00
_space_group_name_H-M_alt 'C 1 m 1'
_space_group_IT_number 8
loop_
_space_group_symop_operation_xyz
'x,y,z'
'x,-y,z'
'x+1/2,y+1/2,z'
'x+1/2,-y+1/2,z'
loop_
_atom_site_label
_atom_site_type_symbol
_atom_site_fract_x
_atom_site_fract_y
_atom_site_fract_z
Si1 Si 0.0000 0.0000 0.0000
Te1 Te 0.1653 0.0000 0.7404
Te2 Te 0.3909 0.0000 0.2646
Os1 Os 0.2017 0.5000 0.0347

---

# 11
# Si2TeOs | the Alexandria database | PBE-GGA | optimized geometry
# Energy relative to the elements, uncorrected   478 meV per atom
# Total DFT energy (no corrections)   -23.30 eV/f.u.
data_Si2TeOs
_cell_length_a 3.0686
_cell_length_b 3.0686
_cell_length_c 26.9164
_cell_angle_alpha 90.00
_cell_angle_beta 90.00
_cell_angle_gamma 120.00
_space_group_name_H-M_alt 'R 3 m'
_space_group_IT_number 160
_space_group_name_Hall 'R 3 -2"'
loop_
_atom_site_label
_atom_site_type_symbol
_atom_site_fract_x
_atom_site_fract_y
_atom_site_fract_z
Si1 Si 0.0000 0.0000 0.0000
Si2 Si 0.0000 0.0000 0.2646
Te1 Te 0.0000 0.0000 0.4793
Os1 Os 0.0000 0.0000 0.7331

---

# 12
# Si2TeOs | the Alexandria database | PBE-GGA | optimized geometry
# Energy relative to the elements, uncorrected   235 meV per atom
# Total DFT energy (no corrections)   -24.28 eV/f.u.
data_Si2TeOs
_cell_length_a 3.0040
_cell_length_b 3.0040
_cell_length_c 7.9936
_cell_angle_alpha 90.00
_cell_angle_beta 90.00
_cell_angle_gamma 90.00
_space_group_name_H-M_alt 'P 4/m m m'
_space_group_IT_number 123
_space_group_name_Hall '-P 4 2'
loop_
_atom_site_label
_atom_site_type_symbol
_atom_site_fract_x
_atom_site_fract_y
_atom_site_fract_z
Si1 Si 0.0000 0.0000 0.1796
Te1 Te 0.5000 0.5000 0.5000
Os1 Os 0.5000 0.5000 0.0000

---

# 13
# SiTeOs2 | the Alexandria database | PBE-GGA | optimized geometry
# Energy relative to the elements, uncorrected   362 meV per atom
# Total DFT energy (no corrections)   -29.58 eV/f.u.
data_SiTeOs2
_cell_length_a 3.1581
_cell_length_b 3.1792
_cell_length_c 13.6860
_cell_angle_alpha 90.00
_cell_angle_beta 90.00
_cell_angle_gamma 90.00
_space_group_name_H-M_alt 'I m m 2'
_space_group_IT_number 44
loop_
_space_group_symop_operation_xyz
'x,y,z'
'-x,-y,z'
'-x,y,z'
'x,-y,z'
'x+1/2,y+1/2,z+1/2'
'-x+1/2,-y+1/2,z+1/2'
'-x+1/2,y+1/2,z+1/2'
'x+1/2,-y+1/2,z+1/2'
loop_
_atom_site_label
_atom_site_type_symbol
_atom_site_fract_x
_atom_site_fract_y
_atom_site_fract_z
Si1 Si 0.0000 0.0000 0.0000
Te1 Te 0.0000 0.5000 0.7544
Os1 Os 0.0000 0.0000 0.4346
Os2 Os 0.0000 0.5000 0.1344

---

# 14
# Si2TeOs | the Alexandria database | PBE-GGA | optimized geometry
# Energy relative to the elements, uncorrected   266 meV per atom
# Total DFT energy (no corrections)   -24.15 eV/f.u.
data_Si2TeOs
_cell_length_a 3.0894
_cell_length_b 3.0894
_cell_length_c 26.1824
_cell_angle_alpha 90.00
_cell_angle_beta 90.00
_cell_angle_gamma 120.00
_space_group_name_H-M_alt 'R -3 m'
_space_group_IT_number 166
_space_group_name_Hall '-R 3 2"'
loop_
_atom_site_label
_atom_site_type_symbol
_atom_site_fract_x
_atom_site_fract_y
_atom_site_fract_z
Si1 Si 0.0000 0.0000 0.2327
Te1 Te 0.0000 0.0000 0.0000
Os1 Os 0.0000 0.0000 0.5000

---

# 15
# Si2TeOs | the Alexandria database | PBE-GGA | optimized geometry
# Energy relative to the elements, uncorrected   749 meV per atom
# Total DFT energy (no corrections)   -22.22 eV/f.u.
data_Si2TeOs
_cell_length_a 5.6749
_cell_length_b 7.4051
_cell_length_c 3.1507
_cell_angle_alpha 90.00
_cell_angle_beta 90.00
_cell_angle_gamma 90.00
_space_group_name_H-M_alt 'C m m m'
_space_group_IT_number 65
_space_group_name_Hall '-C 2 2'
loop_
_atom_site_label
_atom_site_type_symbol
_atom_site_fract_x
_atom_site_fract_y
_atom_site_fract_z
Si1 Si 0.2500 0.2500 0.0000
Te1 Te 0.0000 0.0000 0.5000
Os1 Os 0.0000 0.5000 0.5000